Arrangement w

{
  "formula": "CeMgTlBi",
  "functional": "PBE",
  "state": "optimized geometry",
  "mass_density_g_cm3": 8.641,
  "m_tot_mub_per_atom": 0.249,
  "lattice_angstrom": [[4.455, 0.000, 0.000], [0.000, 4.849, 0.000], [0.000, 0.000, 5.139]],
  "species": ["Ce", "Mg", "Tl", "Bi"],
  "fractional_positions": [[0.000, 0.000, 0.000], [0.000, 0.500, 0.500], [0.500, 0.000, 0.500], [0.500, 0.500, 0.000]]
}



Arrangement x

{
  "formula": "CeMgTlBi",
  "functional": "PBE",
  "state": "optimized geometry",
  "mass_density_g_cm3": 8.552,
  "m_tot_mub_per_atom": 0.304,
  "lattice_angstrom": [[7.656, 0.000, 0.000], [0.000, 7.656, 0.000], [0.000, 0.000, 7.656]],
  "species": ["Ce", "Ce", "Ce", "Ce", "Mg", "Mg", "Mg", "Mg", "Tl", "Tl", "Tl", "Tl", "Bi", "Bi", "Bi", "Bi"],
  "fractional_positions": [[0.000, 0.000, 0.000], [0.000, 0.500, 0.500], [0.500, 0.000, 0.500], [0.500, 0.500, 0.000], [0.000, 0.000, 0.500], [0.000, 0.500, 0.000], [0.500, 0.000, 0.000], [0.500, 0.500, 0.500], [0.250, 0.250, 0.750], [0.250, 0.750, 0.250], [0.750, 0.250, 0.250], [0.750, 0.750, 0.750], [0.250, 0.250, 0.250], [0.250, 0.750, 0.750], [0.750, 0.250, 0.750], [0.750, 0.750, 0.250]]
}



Order from most stable to least stable according to the calculation: arrangement w, arrangement x



Arrangement w

{
  "formula": "Ce6Bi2N",
  "functional": "PBE",
  "state": "optimized geometry",
  "mass_density_g_cm3": 9.277,
  "m_tot_mub_per_atom": 0.430,
  "lattice_angstrom": [[-3.314, 3.342, 5.143], [3.314, -3.342, 5.143], [3.314, 3.342, -5.143]],
  "species": ["Ce", "Ce", "Ce", "Ce", "Ce", "Ce", "Bi", "Bi", "N"],
  "fractional_positions": [[0.230, 0.230, 0.000], [0.254, 0.278, 0.533], [0.254, 0.722, 0.976], [0.746, 0.278, 0.024], [0.746, 0.722, 0.467], [0.770, 0.770, 0.000], [0.257, 0.757, 0.500], [0.743, 0.243, 0.500], [0.000, 0.000, 0.000]]
}



Arrangement x

{
  "formula": "Ce6Bi2N",
  "functional": "PBE",
  "state": "optimized geometry",
  "mass_density_g_cm3": 8.902,
  "m_tot_mub_per_atom": 0.732,
  "lattice_angstrom": [[3.902, 0.000, 0.000], [0.000, 7.247, 4.198], [0.000, -7.247, 4.198]],
  "species": ["Ce", "Ce", "Ce", "Ce", "Ce", "Ce", "Bi", "Bi", "N"],
  "fractional_positions": [[0.000, 0.000, 0.000], [0.000, 0.521, 0.705], [0.000, 0.705, 0.521], [0.500, 0.093, 0.746], [0.500, 0.280, 0.280], [0.500, 0.746, 0.093], [0.000, 0.052, 0.420], [0.000, 0.420, 0.052], [0.500, 0.802, 0.802]]
}



Order from most stable to least stable according to the calculation: arrangement w, arrangement x



Arrangement w

{
  "formula": "CeBiN",
  "functional": "PBE",
  "state": "optimized geometry",
  "mass_density_g_cm3": 8.045,
  "m_tot_mub_per_atom": 0.000,
  "lattice_angstrom": [[3.780, 0.000, 0.000], [-1.890, 3.274, 0.000], [0.000, 0.000, 6.056]],
  "species": ["Ce", "Bi", "N"],
  "fractional_positions": [[0.000, 0.000, 0.000], [0.667, 0.333, 0.500], [0.333, 0.667, 0.000]]
}



Arrangement x

{
  "formula": "CeBiN",
  "functional": "PBE",
  "state": "optimized geometry",
  "mass_density_g_cm3": 8.523,
  "m_tot_mub_per_atom": 0.000,
  "lattice_angstrom": [[3.283, 0.000, 0.000], [0.000, 3.283, 0.000], [0.000, 0.000, 13.130]],
  "species": ["Ce", "Ce", "Bi", "Bi", "N", "N"],
  "fractional_positions": [[0.000, 0.000, 0.000], [0.500, 0.500, 0.500], [0.000, 0.000, 0.275], [0.500, 0.500, 0.775], [0.000, 0.000, 0.534], [0.500, 0.500, 0.034]]
}



Order from most stable to least stable according to the calculation: arrangement w, arrangement x